A plane-wave DFT calculation with GGA+U was carried out for a geometry-optimized Cs2GaCoF6 structure.

magnetization = 0.200 μB per atom
calculated density = 4.66 g/cm³
E = -4.458 eV per atom

Lattice parameters (Å, degrees): 6.836 6.836 6.836 130.37 130.37 72.82
Element x y z (fractional)
Cs 0.250 0.750 0.500
Cs 0.750 0.250 0.500
Ga 0.000 0.000 0.000
Co 0.500 0.500 0.000
F 0.171 0.171 0.000
F 0.243 0.243 0.487
F 0.243 0.757 0.000
F 0.757 0.243 0.000
F 0.757 0.757 0.513
F 0.829 0.829 0.000